LaCo3Os4O12: relaxed, PBE with a Hubbard U.

Cell: 6.542 6.542 6.542 Å, 109.47 109.47 109.47°
Last column: magnetic moment on the atom in μB.
Sites, in units of the cell vectors:
Co: 0.500 0.500 0.000  2.47
Co: 0.500 0.000 0.500  2.47
Co: 0.000 0.500 0.500  2.47
La: 0.000 0.000 0.000  0.01
O: 0.309 0.823 0.132  -0.06
O: 0.486 0.309 0.177  -0.06
O: 0.868 0.691 0.177  -0.06
O: 0.823 0.132 0.309  -0.07
O: 0.177 0.486 0.309  -0.07
O: 0.309 0.177 0.486  -0.06
O: 0.691 0.823 0.514  -0.06
O: 0.823 0.514 0.691  -0.07
O: 0.177 0.868 0.691  -0.07
O: 0.132 0.309 0.823  -0.06
O: 0.514 0.691 0.823  -0.06
O: 0.691 0.177 0.868  -0.06
Os: 0.500 0.000 0.000  -1.12
Os: 0.000 0.500 0.000  -1.12
Os: 0.000 0.000 0.500  -1.08
Os: 0.500 0.500 0.500  -1.10

Results
Total moment, μB per cell: 2.08
Energy, eV per formula unit: -146.85
Symmetry: No. 204
V, Å³/f.u.: 215.5